The following is a PBEsol calculation of a geometry-optimized MnP5O15 structure, from Alexandria via LeMat-Bulk.

a b c (Å): 4.992 13.373 8.900
angles (deg): 90.00 101.71 90.00
Fractional coordinates of all 42 atoms:
Mn 0.000 0.000 0.000
Mn 0.000 0.500 0.000
P 0.009 0.250 0.500
P 0.149 0.070 0.684
P 0.149 0.430 0.684
P 0.498 0.139 0.974
P 0.498 0.361 0.974
P 0.502 0.639 0.026
P 0.502 0.861 0.026
P 0.851 0.570 0.316
P 0.851 0.930 0.316
P 0.991 0.750 0.500
O 0.015 0.523 0.206
O 0.015 0.977 0.206
O 0.044 0.660 0.392
O 0.044 0.840 0.392
O 0.190 0.750 0.652
O 0.197 0.621 0.986
O 0.197 0.879 0.986
O 0.272 0.008 0.582
O 0.272 0.492 0.582
O 0.294 0.250 0.467
O 0.330 0.071 0.057
O 0.330 0.429 0.057
O 0.390 0.137 0.796
O 0.390 0.363 0.796
O 0.447 0.250 0.024
O 0.553 0.750 0.976
O 0.610 0.637 0.204
O 0.610 0.863 0.204
O 0.670 0.571 0.943
O 0.670 0.929 0.943
O 0.706 0.750 0.533
O 0.728 0.508 0.418
O 0.728 0.992 0.418
O 0.803 0.121 0.014
O 0.803 0.379 0.014
O 0.810 0.250 0.348
O 0.956 0.160 0.608
O 0.956 0.340 0.608
O 0.985 0.023 0.794
O 0.985 0.477 0.794

Computed properties:
DOS(E_F): 9.0 states/eV per cell
energy relative to the elements, uncorrected: -1850 meV/atom
space-group type: P2_1/m (11)
total magnetic moment: 8.2 μB/cell
calculated density: 2.568 g/cm3